A geometry-optimized Th2TlSn structure. Source: the Alexandria database, functional PBE.

a b c (Å): 4.561 5.040 5.040
angles (deg): 90.00 90.00 90.00
Fractional coordinates of all 4 atoms:
Th1 0.000 0.000 0.500
Th2 0.000 0.500 0.000
Sn1 0.500 0.000 0.000
Tl1 0.500 0.500 0.500

Properties
energy relative to the elements	-31.9	kJ/mol of atoms
total magnetic moment	0.0	μB/cell



A geometry-optimized Cr2GeB structure. Source: the Alexandria database, functional PBE.

a b c (Å): 3.439 3.439 8.540
angles (deg): 78.38 78.38 90.00
Fractional coordinates of all 8 atoms:
Cr1 0.375 0.436 0.750
Cr2 0.564 0.125 0.250
Cr3 0.875 0.814 0.750
Cr4 0.186 0.625 0.250
Ge1 0.000 0.000 0.000
Ge2 0.750 0.250 0.500
B1 0.250 0.750 0.500
B2 0.500 0.500 0.000

Properties
energy relative to the elements	55.6	kJ/mol of atoms
total magnetic moment	0.0	μB/cell



A geometry-optimized MnCr3Te4 structure. Source: the Alexandria database, functional PBE.

a b c (Å): 4.144 6.120 7.189
angles (deg): 89.94 90.00 90.00
Last column: magnetic moment on the atom in μB.
Fractional coordinates of all 8 atoms:
Cr1 0.500 0.000 0.500  3.46
Cr2 0.000 0.000 0.000  3.43
Cr3 0.500 0.500 0.500  3.53
Te1 0.500 0.755 0.168  -0.08
Te2 0.000 0.249 0.335  -0.10
Te3 0.500 0.245 0.832  -0.08
Te4 0.000 0.751 0.665  -0.10
Mn1 0.000 0.500 0.000  3.84

Properties
formation energy from raw total energies	-0.05	eV per atom
total magnetic moment	15.2	μB/cell



A geometry-optimized LiAcGaCu structure. Source: the Alexandria database, functional PBE.

a b c (Å): 4.926 4.926 4.926
angles (deg): 60.00 60.00 60.00
Fractional coordinates of all 4 atoms:
Ac1 0.000 0.000 0.000
Cu1 0.250 0.250 0.250
Ga1 0.500 0.500 0.500
Li1 0.750 0.750 0.750

Properties
energy relative to the elements	-18.2	kJ/mol of atoms
total magnetic moment	0.0	μB/cell



A geometry-optimized AgSbPb3 structure. Source: the Alexandria database, functional PBE.

a b c (Å): 7.328 7.328 7.669
angles (deg): 104.14 125.41 97.93
Fractional coordinates of all 10 atoms:
Ag1 0.626 0.754 0.379
Ag2 0.374 0.246 0.621
Pb1 0.213 0.404 0.213
Pb2 0.259 0.560 0.819
Pb3 0.787 0.596 0.787
Pb4 0.191 0.000 0.787
Pb5 0.741 0.440 0.181
Pb6 0.809 0.000 0.213
Sb1 0.274 0.954 0.228
Sb2 0.726 0.046 0.772

Properties
formation energy from raw total energies	0.11	eV per atom
total magnetic moment	0.0	μB/cell



A geometry-optimized GaMo2C structure. Source: the Alexandria database, functional PBE.

a b c (Å): 12.188 2.978 5.825
angles (deg): 90.00 90.00 90.00
Fractional coordinates of all 16 atoms:
C1 0.219 0.000 0.000
C2 0.719 0.500 0.500
C3 0.281 0.500 0.500
C4 0.781 0.000 0.000
Ga1 0.500 0.500 0.000
Ga2 0.000 0.000 0.000
Ga3 0.500 0.500 0.500
Ga4 0.000 0.000 0.500
Mo1 0.155 0.500 0.755
Mo2 0.655 0.000 0.255
Mo3 0.345 0.000 0.255
Mo4 0.345 0.000 0.745
Mo5 0.845 0.500 0.245
Mo6 0.845 0.500 0.755
Mo7 0.655 0.000 0.745
Mo8 0.155 0.500 0.245

Properties
energy relative to the elements	7.1	kJ/mol of atoms
total magnetic moment	0.0	μB/cell



A geometry-optimized Pm3CuPt8 structure. Source: the Alexandria database, functional PBE.

a b c (Å): 5.453 5.453 9.428
angles (deg): 73.19 73.19 60.00
Fractional coordinates of all 12 atoms:
Pt1 0.942 0.438 0.183
Pt2 0.440 0.939 0.682
Pt3 0.689 0.689 0.933
Pt4 0.438 0.942 0.183
Pt5 0.939 0.939 0.682
Pt6 0.939 0.440 0.682
Pt7 0.438 0.438 0.183
Pt8 0.190 0.190 0.431
Pm1 0.509 0.509 0.474
Pm2 0.379 0.379 0.864
Pm3 0.988 0.988 0.036
Cu1 0.861 0.861 0.417

Properties
energy relative to the elements	-86.0	kJ/mol of atoms
total magnetic moment	0.0	μB/cell



A geometry-optimized BaDy2Fe structure. Source: the Alexandria database, functional PBE.

a b c (Å): 3.809 3.809 10.813
angles (deg): 79.86 79.86 60.00
Last column: magnetic moment on the atom in μB.
Fractional coordinates of all 4 atoms:
Ba1 0.000 0.000 0.000  0.02
Dy1 0.882 0.882 0.355  -0.16
Dy2 0.118 0.118 0.645  -0.16
Fe1 0.500 0.500 0.500  1.03

Properties
energy relative to the elements	30.3	kJ/mol of atoms
total magnetic moment	0.7	μB/cell



A geometry-optimized YBe2Mo structure. Source: the Alexandria database, functional PBE.

a b c (Å): 5.693 5.693 3.663
angles (deg): 71.24 71.24 35.27
Fractional coordinates of all 4 atoms:
Be1 0.658 0.658 0.842
Be2 0.038 0.038 0.962
Mo1 0.518 0.518 0.482
Y1 0.286 0.286 0.214

Properties
energy relative to the elements	20.4	kJ/mol of atoms
total magnetic moment	0.0	μB/cell



A geometry-optimized KCd4Hg12 structure. Source: the Alexandria database, functional PBE.

a b c (Å): 8.845 8.845 8.845
angles (deg): 109.50 109.50 109.50
Fractional coordinates of all 17 atoms:
Hg1 0.203 0.851 0.352
Hg2 0.851 0.352 0.203
Hg3 0.648 0.499 0.851
Hg4 0.797 0.149 0.648
Hg5 0.501 0.149 0.352
Hg6 0.149 0.352 0.501
Hg7 0.352 0.203 0.851
Hg8 0.352 0.501 0.149
Hg9 0.648 0.797 0.149
Hg10 0.149 0.648 0.797
Hg11 0.499 0.851 0.648
Hg12 0.851 0.648 0.499
Cd1 0.000 0.000 0.500
Cd2 0.500 0.000 0.000
Cd3 0.500 0.500 0.500
Cd4 0.000 0.500 0.000
K1 0.000 0.000 0.000

Properties
energy relative to the elements	-0.8	kJ/mol of atoms
total magnetic moment	0.0	μB/cell



A geometry-optimized CrSeIN2 structure. Source: the Alexandria database, functional PBE.

a b c (Å): 3.918 3.918 6.449
angles (deg): 90.00 90.00 90.00
Last column: magnetic moment on the atom in μB.
Fractional coordinates of all 5 atoms:
N1 0.500 0.000 0.000  0.02
N2 0.000 0.500 0.000  0.02
Cr1 0.500 0.500 0.500  3.88
Se1 0.000 0.000 0.500  -0.14
I1 0.000 0.000 0.000  0.03

Properties
formation energy from raw total energies	1.72	eV per atom
total magnetic moment	4.2	μB/cell



A geometry-optimized Si3Br structure. Source: the Alexandria database, functional PBE.

a b c (Å): 3.786 4.800 4.806
angles (deg): 64.69 90.00 90.00
Fractional coordinates of all 4 atoms:
Si1 0.500 0.697 0.697
Si2 0.000 0.500 0.500
Si3 0.500 0.303 0.303
Br1 0.000 0.000 0.000

Properties
formation energy from raw total energies	0.33	eV per atom
total magnetic moment	0.0	μB/cell